Record 1
Entry from Alexandria via LeMat-Bulk: a crystal of Zr2Au relaxed with PBEsol (SCAN).

## Properties
electronic total energy	-3.2032	Ry/atom
density	10.91	g/cm3
M_tot	0.00	μB per formula unit
crystal system	hexagonal
E_form	-0.06	eV per atom

Lattice parameters (Å, degrees): 2.8230 4.8610 4.8610 120.00 90.00 90.00
Last column: nearest neighbours and their distance in Å.
Positions (direct):
Zr: 0.0000 0.3333 0.6667  5 Zr 2.81-2.82, 6 Au 3.14
Au: 0.5000 0.0000 0.0000  2 Au 2.82, 12 Zr 3.14
Zr: 0.0000 0.6667 0.3333  5 Zr 2.81-2.82, 6 Au 3.14



Record 2
Entry from Alexandria via LeMat-Bulk: a crystal of ZrAu relaxed with PBEsol (SCAN).

## Properties
electronic total energy	-3.7037	Ry/atom
density	11.99	g/cm3
M_tot	0.00	μB per formula unit
crystal system	hexagonal
E_form	-0.46	eV per atom

Lattice parameters (Å, degrees): 3.2506 3.2506 4.3612 90.00 90.00 120.00
Last column: nearest neighbours and their distance in Å.
Positions (direct):
Au: 0.0000 0.0000 0.0000  6 Zr 2.88
Zr: 0.6667 0.3333 0.5000  6 Au 2.88



Record 3
Entry from Alexandria via LeMat-Bulk: a crystal of ZrAu relaxed with PBEsol (SCAN).

## Properties
electronic total energy	-3.7028	Ry/atom
density	12.79	g/cm3
M_tot	1.00	μB per formula unit
crystal system	cubic
E_form	-0.45	eV per atom

Lattice parameters (Å, degrees): 4.7304 4.7304 4.7304 60.00 60.00 60.00
Last column: nearest neighbours and their distance in Å.
Positions (direct):
Au: 0.0000 0.0000 0.0000  4 Zr 2.90, 4 Au 2.90
Au: 0.2500 0.2500 0.2500  4 Au 2.90, 4 Zr 2.90
Zr: 0.5000 0.5000 0.5000  4 Zr 2.90, 4 Au 2.90
Zr: 0.7500 0.7500 0.7500  4 Zr 2.90, 4 Au 2.90



Record 4
Entry from Alexandria via LeMat-Bulk: a crystal of ZrAu3 relaxed with PBEsol (SCAN).

## Properties
electronic total energy	-4.4265	Ry/atom
density	15.98	g/cm3
M_tot	0.00	μB per formula unit
crystal system	orthorhombic
E_form	-0.68	eV per atom

Lattice parameters (Å, degrees): 4.8871 6.0430 14.4007 90.00 90.00 90.00
Last column: nearest neighbours and their distance in Å.
Positions (direct):
Zr: 0.8376 0.0000 0.0000  12 Au 2.87-3.02
Au: 0.6665 0.7531 0.5000  8 Au 2.85-3.06, 4 Zr 2.87-2.95
Zr: 0.1622 0.5000 0.1666  12 Au 2.87-3.02
Au: 0.8377 0.5000 0.6667  8 Au 2.85-2.97, 4 Zr 2.88-3.02
Au: 0.3338 0.7468 0.6667  8 Au 2.85-3.06, 4 Zr 2.87-2.95
Au: 0.6662 0.2468 0.8333  8 Au 2.85-3.06, 4 Zr 2.87-2.95
Au: 0.3335 0.2531 0.0000  8 Au 2.85-3.06, 4 Zr 2.87-2.95
Au: 0.8373 0.5000 0.0000  8 Au 2.85-2.97, 4 Zr 2.88-3.02
Au: 0.6662 0.2468 0.1667  8 Au 2.85-3.06, 4 Zr 2.87-2.95
Zr: 0.8378 0.0000 0.6666  12 Au 2.87-3.02
Au: 0.6665 0.2469 0.5000  8 Au 2.85-3.06, 4 Zr 2.87-2.95
Au: 0.3338 0.2532 0.3333  8 Au 2.85-3.06, 4 Zr 2.87-2.95
Au: 0.3335 0.7469 0.0000  8 Au 2.85-3.06, 4 Zr 2.87-2.95
Au: 0.3338 0.2532 0.6667  8 Au 2.85-3.06, 4 Zr 2.87-2.95
Au: 0.6662 0.7532 0.8333  8 Au 2.85-3.06, 4 Zr 2.87-2.95
Zr: 0.1622 0.5000 0.8334  12 Au 2.87-3.02
Au: 0.1627 0.0000 0.5000  8 Au 2.85-2.97, 4 Zr 2.88-3.02
Au: 0.3338 0.7468 0.3333  8 Au 2.85-3.06, 4 Zr 2.87-2.95
Au: 0.6662 0.7532 0.1667  8 Au 2.85-3.06, 4 Zr 2.87-2.95
Au: 0.8377 0.5000 0.3333  8 Au 2.85-2.97, 4 Zr 2.88-3.02
Zr: 0.1624 0.5000 0.5000  12 Au 2.87-3.02
Au: 0.1623 0.0000 0.1667  8 Au 2.85-2.97, 4 Zr 2.88-3.02
Zr: 0.8378 0.0000 0.3334  12 Au 2.87-3.02
Au: 0.1623 0.0000 0.8333  8 Au 2.85-2.97, 4 Zr 2.88-3.02



Record 5
Entry from Alexandria via LeMat-Bulk: a crystal of Zr2Au relaxed with PBEsol (SCAN).

## Properties
electronic total energy	-3.2231	Ry/atom
density	10.01	g/cm3
M_tot	0.00	μB per formula unit
crystal system	trigonal
E_form	-0.33	eV per atom

Lattice parameters (Å, degrees): 3.2539 3.2539 6.8621 90.00 90.00 120.00
Last column: nearest neighbours and their distance in Å.
Positions (direct):
Zr: 0.3333 0.6667 0.3250  3 Au 2.92, 9 Zr 3.05-3.25
Au: 0.0000 0.0000 0.0000  6 Zr 2.92, 6 Au 3.25
Zr: 0.6667 0.3333 0.6750  3 Au 2.92, 9 Zr 3.05-3.25



Record 6
Entry from Alexandria via LeMat-Bulk: a crystal of Zr8Au relaxed with PBEsol (SCAN).

## Properties
electronic total energy	-2.5794	Ry/atom
density	8.03	g/cm3
M_tot	0.00	μB per formula unit
crystal system	tetragonal
E_form	-0.12	eV per atom

Lattice parameters (Å, degrees): 4.1938 7.0781 7.0781 84.96 72.77 72.77
Last column: nearest neighbours and their distance in Å.
Positions (direct):
Au: 0.0000 0.0000 0.0000  12 Zr 3.07-3.17
Zr: 0.3319 0.6681 0.6681  11 Zr 3.07-3.21, 1 Au 3.17
Zr: 0.3345 0.3310 0.0000  2 Au 3.07, 10 Zr 3.07-3.20
Zr: 0.3345 0.0000 0.3310  2 Au 3.07, 10 Zr 3.07-3.20
Zr: 0.6655 0.6690 0.0000  2 Au 3.07, 10 Zr 3.07-3.20
Zr: 0.6681 0.3319 0.3319  11 Zr 3.07-3.21, 1 Au 3.17
Zr: 0.0000 0.6681 0.3319  11 Zr 3.07-3.21, 1 Au 3.17
Zr: 0.0000 0.3319 0.6681  11 Zr 3.07-3.21, 1 Au 3.17
Zr: 0.6655 0.0000 0.6690  2 Au 3.07, 10 Zr 3.07-3.20



Record 7
Entry from Alexandria via LeMat-Bulk: a crystal of Zr3Au4 relaxed with PBEsol (SCAN).

## Properties
electronic total energy	-3.9289	Ry/atom
density	13.36	g/cm3
M_tot	0.00	μB per formula unit
crystal system	tetragonal
E_form	-0.78	eV per atom

Lattice parameters (Å, degrees): 3.5196 3.5196 10.9354 99.26 99.26 90.00
Last column: nearest neighbours and their distance in Å.
Positions (direct):
Au: 0.8608 0.8608 0.7215  5 Zr 2.86-2.97, 4 Au 2.91
Zr: 0.7058 0.7058 0.4116  5 Au 2.86-2.93, 4 Zr 3.12
Au: 0.1392 0.1392 0.2785  5 Zr 2.86-2.97, 4 Au 2.91
Au: 0.5683 0.5683 0.1366  5 Zr 2.88-2.93, 5 Au 2.91
Zr: 0.0000 0.0000 0.0000  10 Au 2.88-2.97
Au: 0.4317 0.4317 0.8634  5 Zr 2.88-2.93, 5 Au 2.91
Zr: 0.2942 0.2942 0.5884  5 Au 2.86-2.93, 4 Zr 3.12



Record 8
Entry from Alexandria via LeMat-Bulk: a crystal of Zr5Au4 relaxed with PBEsol (SCAN).

## Properties
electronic total energy	-3.5627	Ry/atom
density	11.62	g/cm3
M_tot	0.00	μB per formula unit
crystal system	hexagonal
E_form	-0.68	eV per atom

Lattice parameters (Å, degrees): 5.4681 8.6637 8.6637 120.00 90.00 90.00
Last column: nearest neighbours and their distance in Å.
Positions (direct):
Au: 0.7500 0.3928 0.0000  9 Zr 2.81-3.04
Zr: 0.2500 0.7175 0.7175  7 Au 2.80-3.04
Au: 0.7500 0.0000 0.3928  9 Zr 2.81-3.04
Au: 0.2500 0.0000 0.6072  9 Zr 2.81-3.04
Zr: 0.2500 0.0000 0.2825  7 Au 2.80-3.04
Au: 0.2500 0.3928 0.3928  9 Zr 2.81-3.04
Zr: 0.0000 0.6667 0.3333  2 Zr 2.73, 6 Au 3.00
Zr: 0.0000 0.3333 0.6667  2 Zr 2.73, 6 Au 3.00
Zr: 0.7500 0.0000 0.7175  7 Au 2.80-3.04
Au: 0.2500 0.6072 0.0000  9 Zr 2.81-3.04
Zr: 0.7500 0.2825 0.2825  7 Au 2.80-3.04
Zr: 0.2500 0.2825 0.0000  7 Au 2.80-3.04
Zr: 0.5000 0.3333 0.6667  2 Zr 2.73, 6 Au 3.00
Au: 0.0000 0.0000 0.0000  2 Au 2.73, 6 Zr 2.80
Au: 0.7500 0.6072 0.6072  9 Zr 2.81-3.04
Au: 0.5000 0.0000 0.0000  2 Au 2.73, 6 Zr 2.80
Zr: 0.5000 0.6667 0.3333  2 Zr 2.73, 6 Au 3.00
Zr: 0.7500 0.7175 0.0000  7 Au 2.80-3.04